## TbGaPt4 (GGA-PBE)

Data for a relaxed TbGaPt4 crystal.

Structure (CIF):
```
data_TbGaPt4
_cell_length_a 7.596
_cell_length_b 7.596
_cell_length_c 7.596
_cell_angle_alpha 90.00
_cell_angle_beta 90.00
_cell_angle_gamma 90.00
_space_group_name_H-M_alt 'F -4 3 m'
_space_group_IT_number 216
_space_group_name_Hall 'F -4 2 3'
loop_
_atom_site_label
_atom_site_fract_x
_atom_site_fract_y
_atom_site_fract_z
Tb1 0.000 0.000 0.000
Ga1 0.250 0.250 0.750
Pt1 0.124 0.124 0.376
```

Spin magnetization   0.0 μB/f.u.
ΔH_f (0 K)   -0.774 eV per atom

## TiTcW2 (GGA-PBE)

Data for a relaxed TiTcW2 crystal.

Structure (CIF):
```
data_TiTcW2
_cell_length_a 6.285
_cell_length_b 6.285
_cell_length_c 6.285
_cell_angle_alpha 90.00
_cell_angle_beta 90.00
_cell_angle_gamma 90.00
_space_group_name_H-M_alt 'F m -3 m'
_space_group_IT_number 225
_space_group_name_Hall '-F 4 2 3'
loop_
_atom_site_label
_atom_site_fract_x
_atom_site_fract_y
_atom_site_fract_z
Ti1 0.000 0.000 0.000
Tc1 0.000 0.000 0.500
W1 0.250 0.250 0.250
```

Spin magnetization   0.0 μB/f.u.
ΔH_f (0 K)   -0.109 eV per atom

## LiAgBr2 (GGA-PBE)

Data for a relaxed LiAgBr2 crystal.

Structure (CIF):
```
data_LiAgBr2
_cell_length_a 3.804
_cell_length_b 3.916
_cell_length_c 7.633
_cell_angle_alpha 90.00
_cell_angle_beta 90.00
_cell_angle_gamma 90.00
_space_group_name_H-M_alt 'P m m m'
_space_group_IT_number 47
_space_group_name_Hall '-P 2 2'
loop_
_atom_site_label
_atom_site_fract_x
_atom_site_fract_y
_atom_site_fract_z
Li1 0.000 0.000 0.000
Ag1 0.000 0.500 0.500
Br1 0.500 0.000 0.500
Br2 0.500 0.500 0.000
```

E_form (uncorrected)   -308 kJ/mol of formula units
Spin magnetization   0.0 μB/f.u.

## Nd2TmTh3Sb6 (GGA-PBE)

Data for a relaxed Nd2TmTh3Sb6 crystal.

Structure (CIF):
```
data_Nd2TmTh3Sb6
_cell_length_a 19.548
_cell_length_b 4.490
_cell_length_c 8.952
_cell_angle_alpha 90.00
_cell_angle_beta 103.11
_cell_angle_gamma 90.00
_space_group_name_H-M_alt 'C 1 2/m 1'
_space_group_IT_number 12
_space_group_name_Hall '-C 2y'
loop_
_atom_site_label
_atom_site_fract_x
_atom_site_fract_y
_atom_site_fract_z
Nd1 0.166 0.000 0.333
Tm1 0.000 0.500 0.000
Th1 0.000 0.500 0.500
Th2 0.169 0.000 0.834
Sb1 0.001 0.000 0.759
Sb2 0.163 0.500 0.080
Sb3 0.166 0.500 0.583
```

E_form (uncorrected)   -1195 kJ/mol of formula units
Spin magnetization   0.0 μB/f.u.

## Cs2NbZnS4 (GGA-PBE)

Data for a relaxed Cs2NbZnS4 crystal.

Structure (CIF):
```
data_Cs2NbZnS4
_cell_length_a 5.976
_cell_length_b 14.430
_cell_length_c 25.033
_cell_angle_alpha 90.00
_cell_angle_beta 90.00
_cell_angle_gamma 90.00
_space_group_name_H-M_alt 'F d d d'
_space_group_IT_number 70
loop_
_space_group_symop_operation_xyz
'x,y,z'
'-x,-y,-z'
'-x+1/4,-y+1/4,z'
'x+1/4,y+1/4,-z'
'x,-y+1/4,-z+1/4'
'-x,y+1/4,z+1/4'
'-x+1/4,y,-z+1/4'
'x+1/4,-y,z+1/4'
'x,y+1/2,z+1/2'
'-x,-y+1/2,-z+1/2'
'-x+1/4,-y+3/4,z+1/2'
'x+1/4,y+3/4,-z+1/2'
'x,-y+3/4,-z+3/4'
'-x,y+3/4,z+3/4'
'-x+1/4,y+1/2,-z+3/4'
'x+1/4,-y+1/2,z+3/4'
'x+1/2,y,z+1/2'
'-x+1/2,-y,-z+1/2'
'-x+3/4,-y+1/4,z+1/2'
'x+3/4,y+1/4,-z+1/2'
'x+1/2,-y+1/4,-z+3/4'
'-x+1/2,y+1/4,z+3/4'
'-x+3/4,y,-z+3/4'
'x+3/4,-y,z+3/4'
'x+1/2,y+1/2,z'
'-x+1/2,-y+1/2,-z'
'-x+3/4,-y+3/4,z'
'x+3/4,y+3/4,-z'
'x+1/2,-y+3/4,-z+1/4'
'-x+1/2,y+3/4,z+1/4'
'-x+3/4,y+1/2,-z+1/4'
'x+3/4,-y+1/2,z+1/4'
loop_
_atom_site_label
_atom_site_fract_x
_atom_site_fract_y
_atom_site_fract_z
Cs1 0.125 0.125 0.302
Nb1 0.125 0.125 0.625
Zn1 0.125 0.125 0.125
S1 0.123 0.283 0.824
```

E_form (uncorrected)   -794 kJ/mol of formula units
Spin magnetization   1.0 μB/f.u.

## Tb3Nd3DyZn2 (GGA-PBE)

Data for a relaxed Tb3Nd3DyZn2 crystal.

Structure (CIF):
```
data_Tb3Nd3DyZn2
_cell_length_a 9.1811
_cell_length_b 9.1811
_cell_length_c 3.6232
_cell_angle_alpha 90.00
_cell_angle_beta 90.00
_cell_angle_gamma 120.00
_space_group_name_H-M_alt 'P -6 2 m'
_space_group_IT_number 189
_space_group_name_Hall 'P -6 -2'
loop_
_atom_site_label
_atom_site_fract_x
_atom_site_fract_y
_atom_site_fract_z
Tb1 0.0000 0.3741 0.0000
Nd1 0.0000 0.6859 0.5000
Dy1 0.0000 0.0000 0.0000
Zn1 0.3333 0.6667 0.5000
```

Spin magnetization   0.0 μB/f.u.
ΔH_f (0 K)   -0.005 eV per atom